Material: Cs5TlS4
Method: DFT, PBE
State: relaxed

## Properties
**Calculated total energy**: -29.8 eV/cell
**Excess energy over the best structure of this formula in the dataset**: 237.1 meV per atom
**SG**: C2/m (12)
**Raw formation energy**: -0.664 eV per atom

a b c (Å): 4.8461 8.9897 10.5271
angles (deg): 107.94 103.31 90.00
Sites, in units of the cell vectors:
Cs: 0.1624 0.3454 0.3249
Tl: 0.5000 0.0000 0.0000
Cs: 0.8376 0.6546 0.6751
S: 0.6444 0.0937 0.2887
Cs: 0.1658 0.8619 0.3316
S: 0.0004 0.2221 0.0007
Cs: 0.5000 0.5000 0.0000
S: 0.9996 0.7779 0.9993
Cs: 0.8342 0.1381 0.6684
S: 0.3556 0.9063 0.7113